An optimized crystal structure of Ce2Al2Au. Source: the Alexandria database, functional GGA-PBE.

abc: 3.555 4.616 7.118
angles: 108.90 90.00 90.00
Atoms (fractional coordinates):
Ce 0.500 0.392 0.785
Ce 0.500 0.608 0.215
Al 0.000 0.801 0.603
Al 0.000 0.199 0.397
Au 0.000 0.000 0.000

## Properties
* D(E_F): 1.505 states/eV/atom
* total moment: 0.6 Bohr magnetons per cell
* formation energy from the elements: -0.476 eV/atom